Entry 1:
TbSmYTh2: relaxed, PBE. Values from VASP.

- Total magnetic moment: 0.000 μB per cell
- Formation energy: 2.084 eV/f.u.
- Space-group type: Cmcm
- Volume: 175.5 Å³/f.u.

The structure in Quantum ESPRESSO input format:
```
&SYSTEM
  ibrav = 0, nat = 10, ntyp = 4
/
ATOMIC_SPECIES
Tb 158.93 Tb.upf
Sm 150.36 Sm.upf
Y 88.91 Y.upf
Th 232.04 Th.upf
CELL_PARAMETERS angstrom
-5.6873 1.4759 -3.1750
-3.4064 -3.7064 4.3790
0.7656 8.1666 2.4248
ATOMIC_POSITIONS angstrom
Tb -6.4247 2.3241 2.0524
Tb -1.9034 3.6119 1.5764
Sm -3.7791 2.9201 4.6148
Sm -4.5490 3.0159 -0.9860
Y -3.4112 0.4424 2.8039
Y -4.9170 5.4936 0.8249
Th -3.7006 -0.1945 -0.4858
Th -2.5495 -2.7740 3.2774
Th -5.3931 -2.0361 1.6899
Th -0.8570 -0.9324 1.1016
```

Entry 2:
TbSm2YTh: relaxed, PBE. Values from VASP.

- Total magnetic moment: 0.000 μB per cell
- Formation energy: 1.524 eV/f.u.
- Space-group type: P2/c
- Volume: 173.0 Å³/f.u.

The structure in Quantum ESPRESSO input format:
```
&SYSTEM
  ibrav = 0, nat = 10, ntyp = 4
/
ATOMIC_SPECIES
Tb 158.93 Tb.upf
Sm 150.36 Sm.upf
Y 88.91 Y.upf
Th 232.04 Th.upf
CELL_PARAMETERS angstrom
-2.8359 -4.2478 -3.8904
7.6102 -2.9922 -2.2802
-0.7397 -4.0000 4.9068
ATOMIC_POSITIONS angstrom
Tb 0.0000 0.0000 0.0000
Tb -0.3699 -2.0000 2.4534
Sm 2.6814 -8.1590 -0.4819
Sm -0.1612 -6.7954 0.1013
Sm 4.1958 -4.4446 -1.3651
Sm 1.3532 -3.0810 -0.7820
Y 2.7310 -5.2740 1.8275
Y 1.3036 -5.9661 -3.0914
Th -1.7562 -3.3536 -0.9289
Th -1.8194 -4.8943 1.9452
```

Entry 3:
TbSmY2Th: relaxed, PBE. Values from VASP.

- Total magnetic moment: 0.000 μB per cell
- Formation energy: 1.615 eV/f.u.
- Space-group type: P2/c
- Volume: 172.8 Å³/f.u.

The structure in Quantum ESPRESSO input format:
```
&SYSTEM
  ibrav = 0, nat = 10, ntyp = 4
/
ATOMIC_SPECIES
Tb 158.93 Tb.upf
Sm 150.36 Sm.upf
Y 88.91 Y.upf
Th 232.04 Th.upf
CELL_PARAMETERS angstrom
-0.2375 3.8529 -5.2046
5.7711 -4.9362 -3.9175
-5.1075 -3.0552 -2.0287
ATOMIC_POSITIONS angstrom
Tb 0.0000 0.0000 0.0000
Tb -2.5538 -1.5276 -1.0143
Sm -0.9872 -4.0771 -4.4021
Sm 1.4133 -0.0615 -6.7486
Y -0.2009 -3.1415 -7.9079
Y -2.0185 -1.0369 -6.2669
Y 2.4446 -3.1017 -4.8839
Y 0.6270 -0.9970 -3.2429
Th -1.4094 1.3864 -3.4118
Th -3.9356 -0.5888 -3.8215
```

Entry 4:
Tb3Sm6YTh2: relaxed, PBE. Values from VASP.

- Total magnetic moment: 0.000 μB per cell
- Formation energy: 0.399 eV/f.u.
- Space-group type: C2/m
- Volume: 396.0 Å³/f.u.

The structure in Quantum ESPRESSO input format:
```
&SYSTEM
  ibrav = 0, nat = 12, ntyp = 4
/
ATOMIC_SPECIES
Tb 158.93 Tb.upf
Sm 150.36 Sm.upf
Y 88.91 Y.upf
Th 232.04 Th.upf
CELL_PARAMETERS angstrom
6.2279 0.0032 0.0012
-3.1096 5.3960 0.0012
-1.0427 -1.8054 11.7790
ATOMIC_POSITIONS angstrom
Tb -2.0747 3.5944 5.8907
Tb 4.1502 -0.0007 5.8907
Tb 1.0378 1.7969 5.8907
Sm 3.1233 1.7745 8.8611
Sm 2.0665 3.5782 2.9283
Sm -1.0477 1.8193 2.9204
Sm -0.0239 3.5921 8.8611
Sm 0.0090 0.0156 8.8532
Sm 2.0994 0.0017 2.9204
Y 0.0000 0.0000 0.0000
Th 0.0052 3.5970 0.0012
Th 3.1130 1.8022 0.0012
```

Entry 5:
Tb6Sm3YTh2: relaxed, PBE. Values from VASP.

- Total magnetic moment: 0.000 μB per cell
- Formation energy: 0.268 eV/f.u.
- Space-group type: C2/m
- Volume: 389.5 Å³/f.u.

The structure in Quantum ESPRESSO input format:
```
&SYSTEM
  ibrav = 0, nat = 12, ntyp = 4
/
ATOMIC_SPECIES
Tb 158.93 Tb.upf
Sm 150.36 Sm.upf
Y 88.91 Y.upf
Th 232.04 Th.upf
CELL_PARAMETERS angstrom
6.2076 0.0015 0.0029
-3.1010 5.3776 0.0029
-1.0426 -1.8053 11.6647
ATOMIC_POSITIONS angstrom
Tb 3.1120 1.7594 8.7958
Tb 2.0558 3.5596 2.8816
Tb -1.0480 1.8144 2.8747
Tb -0.0313 3.5748 8.7958
Tb 0.0082 0.0142 8.7889
Tb 2.0953 -0.0010 2.8747
Sm -2.0727 3.5800 5.8352
Sm 4.1367 -0.0062 5.8352
Sm 1.0320 1.7869 5.8352
Y 0.0000 0.0000 0.0000
Th 0.0026 3.5851 0.0029
Th 3.1040 1.7939 0.0029
```

Entry 6:
Tb2Sm3Y6Th: relaxed, PBE. Values from VASP.

- Total magnetic moment: 0.000 μB per cell
- Formation energy: 0.250 eV/f.u.
- Space-group type: C2/m
- Volume: 390.6 Å³/f.u.

The structure in Quantum ESPRESSO input format:
```
&SYSTEM
  ibrav = 0, nat = 12, ntyp = 4
/
ATOMIC_SPECIES
Tb 158.93 Tb.upf
Sm 150.36 Sm.upf
Y 88.91 Y.upf
Th 232.04 Th.upf
CELL_PARAMETERS angstrom
-0.5191 4.8058 3.9113
2.9352 -5.1748 1.8081
9.2693 4.4479 -5.8837
ATOMIC_POSITIONS angstrom
Tb 1.7840 -1.8485 2.5090
Tb 0.6322 1.4795 3.2103
Sm 6.9923 -1.2820 -0.7821
Sm 4.6932 5.3609 0.6178
Sm 5.8427 2.0395 -0.0822
Y 8.2203 4.7152 0.2211
Y 4.1149 0.8234 2.8510
Y 3.4651 -0.6363 -0.3855
Y 9.3600 1.4223 -0.4728
Y 7.5706 3.2555 -3.0153
Y 2.3255 2.6566 0.3084
Th 0.0000 0.0000 0.0000
```

Entry 7:
Tb2Sm6Y3Th: relaxed, PBE. Values from VASP.

- Total magnetic moment: 0.000 μB per cell
- Formation energy: 0.339 eV/f.u.
- Space-group type: C2/m
- Volume: 396.1 Å³/f.u.

The structure in Quantum ESPRESSO input format:
```
&SYSTEM
  ibrav = 0, nat = 12, ntyp = 4
/
ATOMIC_SPECIES
Tb 158.93 Tb.upf
Sm 150.36 Sm.upf
Y 88.91 Y.upf
Th 232.04 Th.upf
CELL_PARAMETERS angstrom
-0.7416 -1.5824 -5.9848
0.0381 -4.4128 4.4042
-11.4212 3.0574 1.6901
ATOMIC_POSITIONS angstrom
Tb -0.2219 -3.4691 0.9404
Tb -0.4816 -2.5261 -2.5209
Sm -9.2374 -1.7406 -1.6322
Sm -3.3709 -3.7585 -0.7710
Sm -2.8873 -1.1972 1.7418
Sm -8.9801 -2.6747 1.7965
Sm -8.7538 0.8207 0.8805
Sm -3.1446 -0.2631 -1.6869
Y -5.8028 -2.4112 3.5136
Y -6.3219 -0.5265 -3.4041
Y -6.0624 -1.4689 0.0548
Th 0.0000 0.0000 0.0000
```

Entry 8:
Tb3Sm2Y6Th: relaxed, PBE. Values from VASP.

- Total magnetic moment: 0.000 μB per cell
- Formation energy: 0.316 eV/f.u.
- Space-group type: C2/m
- Volume: 389.2 Å³/f.u.

The structure in Quantum ESPRESSO input format:
```
&SYSTEM
  ibrav = 0, nat = 12, ntyp = 4
/
ATOMIC_SPECIES
Tb 158.93 Tb.upf
Sm 150.36 Sm.upf
Y 88.91 Y.upf
Th 232.04 Th.upf
CELL_PARAMETERS angstrom
-0.6264 4.8878 3.7791
-4.9831 -3.3444 -1.5965
3.5533 -7.4281 8.4957
ATOMIC_POSITIONS angstrom
Tb -2.4780 -5.6820 3.5502
Tb 0.4219 -0.2027 7.1282
Tb -1.0281 -2.9423 5.3392
Sm -3.5305 -0.5996 0.1958
Sm -2.0790 2.1431 1.9868
Y -0.8295 -3.0547 8.8981
Y -3.3429 -0.6928 3.7703
Y -1.2267 -2.8300 1.7802
Y -2.2664 -5.7699 7.1251
Y 1.2868 -5.1919 6.9080
Y 0.2103 -0.1148 3.5532
Th 0.0000 0.0000 0.0000
```

Entry 9:
TbSm2Y6Th: relaxed, PBE. Values from VASP.

- Total magnetic moment: 0.000 μB per cell
- Formation energy: 1.489 eV/f.u.
- Space-group type: C2/c
- Volume: 329.7 Å³/f.u.

The structure in Quantum ESPRESSO input format:
```
&SYSTEM
  ibrav = 0, nat = 20, ntyp = 4
/
ATOMIC_SPECIES
Tb 158.93 Tb.upf
Sm 150.36 Sm.upf
Y 88.91 Y.upf
Th 232.04 Th.upf
CELL_PARAMETERS angstrom
-3.5898 -8.0643 4.2628
-1.5099 -2.7208 -8.1784
8.1170 -1.0462 3.0967
ATOMIC_POSITIONS angstrom
Tb 3.3213 -3.7404 -0.4032
Tb -0.3041 -8.0910 -0.4158
Sm 2.9358 -6.5850 -2.4628
Sm 0.9653 -1.3727 -1.5545
Sm 0.0814 -5.2464 1.6439
Sm 2.0520 -10.4587 0.7356
Y 5.6724 -1.5524 1.6032
Y 5.2014 -5.1924 2.5459
Y -2.6551 -10.2790 -2.4222
Y -2.1842 -6.6390 -3.3649
Y 0.8233 -5.6658 -5.3568
Y -1.3702 -3.0657 -3.8701
Y 2.1939 -6.1656 4.5379
Y 4.3874 -8.7657 3.0512
Y 2.5152 -3.3730 -3.7055
Y 0.2891 -4.7755 -1.5965
Y 0.5020 -8.4584 2.8866
Y 2.7282 -7.0559 0.7775
Th -2.2095 -4.7025 -6.8810
Th 5.2267 -7.1289 6.0620
```

Entry 10:
Tb6SmY2Th3: relaxed, PBE. Values from VASP.

- Total magnetic moment: 0.000 μB per cell
- Formation energy: 0.266 eV/f.u.
- Space-group type: C2/m
- Volume: 386.9 Å³/f.u.

The structure in Quantum ESPRESSO input format:
```
&SYSTEM
  ibrav = 0, nat = 12, ntyp = 4
/
ATOMIC_SPECIES
Tb 158.93 Tb.upf
Sm 150.36 Sm.upf
Y 88.91 Y.upf
Th 232.04 Th.upf
CELL_PARAMETERS angstrom
-4.6076 2.8879 -2.9781
2.3239 -5.2821 -2.2667
-7.0116 -5.2604 7.9059
ATOMIC_POSITIONS angstrom
Tb -8.0876 -4.3505 1.8442
Tb -3.5053 -3.1415 -1.9247
Tb -1.2077 -3.3040 0.8169
Tb -5.7787 -7.0720 2.0812
Tb -5.7901 -4.5131 4.5858
Tb -3.5167 -0.5826 0.5799
Sm 0.0000 0.0000 0.0000
Y 0.0138 -2.5592 -2.5038
Y -2.2974 0.1650 -2.7410
Th -2.3359 -6.5521 1.5678
Th -6.9594 -1.1025 1.0933
Th -4.6477 -3.8273 1.3306
```

Entry 11:
TbSm2Y5Th: relaxed, PBE. Values from VASP.

- Total magnetic moment: 0.000 μB per cell
- Formation energy: 2.614 eV/f.u.
- Space-group type: I4/mcm
- Volume: 294.7 Å³/f.u.

The structure in Quantum ESPRESSO input format:
```
&SYSTEM
  ibrav = 0, nat = 18, ntyp = 4
/
ATOMIC_SPECIES
Tb 158.93 Tb.upf
Sm 150.36 Sm.upf
Y 88.91 Y.upf
Th 232.04 Th.upf
CELL_PARAMETERS angstrom
8.7635 0.0000 0.0000
0.0000 8.7635 0.0000
-4.3817 -4.3817 7.6754
ATOMIC_POSITIONS angstrom
Tb 0.0000 4.3817 3.8377
Tb 4.3817 0.0000 3.8377
Sm 1.0092 3.3726 0.0000
Sm 5.3909 1.0092 0.0000
Sm 3.3726 7.7543 0.0000
Sm 7.7543 5.3909 0.0000
Y 6.9124 2.5307 2.1179
Y 2.5307 -1.8511 5.5575
Y -2.5307 1.8511 5.5575
Y -1.8511 -2.5307 5.5575
Y 1.8511 2.5307 5.5575
Y 6.2328 6.9124 2.1179
Y 2.5307 1.8511 2.1179
Y 1.8511 6.2328 2.1179
Y 4.3817 4.3817 0.0000
Y 0.0000 0.0000 0.0000
Th 0.0000 0.0000 3.8377
Th 4.3817 4.3817 3.8377
```

Entry 12:
TbSm6Y3Th2: relaxed, PBE. Values from VASP.

- Total magnetic moment: 0.000 μB per cell
- Formation energy: 0.398 eV/f.u.
- Space-group type: C2/m
- Volume: 396.6 Å³/f.u.

The structure in Quantum ESPRESSO input format:
```
&SYSTEM
  ibrav = 0, nat = 12, ntyp = 4
/
ATOMIC_SPECIES
Tb 158.93 Tb.upf
Sm 150.36 Sm.upf
Y 88.91 Y.upf
Th 232.04 Th.upf
CELL_PARAMETERS angstrom
6.2321 0.0023 0.0005
-3.1126 5.3992 0.0005
-1.0406 -1.8018 11.7845
ATOMIC_POSITIONS angstrom
Tb 0.0000 0.0000 0.0000
Sm 3.1266 1.7815 8.8736
Sm 2.0684 3.5813 2.9183
Sm -1.0477 1.8182 2.9119
Sm -0.0195 3.5985 8.8736
Sm 0.0106 0.0183 8.8671
Sm 2.0985 0.0012 2.9119
Y -2.0756 3.5989 5.8927
Y 4.1545 0.0008 5.8927
Y 1.0395 1.7998 5.8927
Th 0.0042 3.5991 0.0005
Th 3.1153 1.8024 0.0005
```